Entry 1:
Below is a crystal of Hf2Be2Cu relaxed with PBEsol, with properties calculated at the SCAN level.

Unit cell a=3.7959 b=6.0861 c=6.0861 alpha=90.00 beta=90.00 gamma=90.00
Last column: nearest neighbours and their distance in Å.
Positions (direct):
Be: 0.0000 0.3732 0.8732  1 Be 2.18, 2 Cu 2.40
Be: 0.0000 0.8732 0.6268  1 Be 2.18, 2 Cu 2.40
Be: 0.0000 0.6268 0.1268  1 Be 2.18, 2 Cu 2.40
Be: 0.0000 0.1268 0.3732  1 Be 2.18, 2 Cu 2.40
Hf: 0.5000 0.1722 0.6722  6 Be 2.57-2.64
Hf: 0.5000 0.6722 0.8278  6 Be 2.57-2.64
Hf: 0.5000 0.8278 0.3278  6 Be 2.57-2.64
Hf: 0.5000 0.3278 0.1722  6 Be 2.57-2.64
Cu: 0.0000 0.0000 0.0000  4 Be 2.40
Cu: 0.0000 0.5000 0.5000  4 Be 2.40

=====

Entry 2:
Below is a crystal of HfBe3Cu relaxed with PBEsol, with properties calculated at the SCAN level.

Unit cell a=3.9434 b=3.9434 c=3.9434 alpha=90.00 beta=90.00 gamma=90.00
Last column: nearest neighbours and their distance in Å.
Positions (direct):
Be: 0.0000 0.5000 0.0000  2 Cu 1.97
Be: 0.0000 0.0000 0.5000  2 Cu 1.97
Be: 0.5000 0.0000 0.0000  2 Cu 1.97
Hf: 0.5000 0.5000 0.5000  12 Be 2.79
Cu: 0.0000 0.0000 0.0000  6 Be 1.97

=====

Entry 3:
Below is a crystal of NaHfBeCu2 relaxed with PBEsol, with properties calculated at the SCAN level.

Unit cell a=4.1601 b=4.1601 c=4.3035 alpha=90.00 beta=90.00 gamma=90.00
Last column: nearest neighbours and their distance in Å.
Positions (direct):
Na: 0.0000 0.0000 0.5000  2 Be 2.15
Hf: 0.5000 0.5000 0.5000  4 Na 2.94, 8 Cu 2.99
Cu: 0.0000 0.5000 0.0000  2 Be 2.08
Cu: 0.5000 0.0000 0.0000  2 Be 2.08
Be: 0.0000 0.0000 0.0000  4 Cu 2.08, 2 Na 2.15

=====

Entry 4:
Below is a crystal of HfBeCu2Pt relaxed with PBEsol, with properties calculated at the SCAN level.

Unit cell a=4.6362 b=4.6362 c=4.8032 alpha=90.00 beta=90.00 gamma=90.00
Last column: nearest neighbours and their distance in Å.
Positions (direct):
Be: 0.5000 0.5000 0.5000  4 Hf 3.28, 8 Cu 3.34
Hf: 0.0000 0.0000 0.5000  2 Pt 2.40
Cu: 0.0000 0.5000 0.0000  2 Pt 2.32
Cu: 0.5000 0.0000 0.0000  2 Pt 2.32
Pt: 0.0000 0.0000 0.0000  4 Cu 2.32, 2 Hf 2.40

=====

Number 1: calculated volume 14.06 A^3/atom, total energy -300.54 eV/cell. Number 2: calculated volume 12.26 A^3/atom, total energy -90.10 eV/cell. Number 3: calculated volume 14.90 A^3/atom, total energy -98.58 eV/cell. Number 4: calculated volume 20.65 A^3/atom, total energy -163.30 eV/cell.